1.
Below is a relaxed structure of Cs2NiMoCl6, with properties calculated at the PBE-GGA level.

It has space group I4/mmm (No. 139), with a = 6.9121 Å, b = 6.9121 Å, c = 11.4982 Å, α = 90.00°, β = 90.00° and γ = 90.00°. The distinct sites, in fractional coordinates, are Cs at (0.0000, 0.5000, 0.2500), Ni at (0.0000, 0.0000, 0.0000), Mo at (0.0000, 0.0000, 0.5000), Cl at (0.0000, 0.0000, 0.2858) and Cl at (0.2430, 0.2430, 0.0000).

The size of the total moment comes out at 4.0 μB/f.u. The calculation puts the formation energy from raw total energies at -1.13 eV per atom. As for the volume: 549.4 Å³ per cell.

---

2.
Below is a relaxed structure of RbTlSiH6, with properties calculated at the PBE-GGA level.

It has space group Cm (No. 8), with a = 9.5002 Å, b = 5.4734 Å, c = 4.5872 Å, α = 90.00°, β = 90.04° and γ = 90.00°. The distinct sites, in fractional coordinates, are Rb at (0.0000, 0.0000, 0.0000), Tl at (0.1670, 0.5000, 0.5093), Si at (0.3331, 0.0000, 0.3001), H at (0.1924, 0.0000, 0.4985), H at (0.2629, 0.2114, 0.1018), H at (0.4029, 0.2110, 0.4995) and H at (0.4738, 0.0000, 0.1026).

Its uncorrected energy is -57.90 eV for the cell shown. The size of the total moment comes out at 0.0 μB/f.u. As for the volume: 238.5 Å³ per cell.

---

- size of the total moment of number 1 (Cs2NiMoCl6)?
  4.0 μB/f.u.